# 1
DFT (GGA-PBEsol) results for Re3MoBr after structural relaxation.

Total moment = 2.9 μB/f.u.
Raw total energy = -8.06 eV per atom
ΔE_f (raw) = 2.6677 eV per atom
N(E_F) = 7.97 states/eV/f.u.

The structure in POSCAR format:
```
Re3MoBr
1.0
-3.4378 3.1915 0.4532
-2.9585 -2.8608 -2.2963
-1.2800 -1.9596 4.0904
Re Mo Br
3 1 1
Cartesian
-1.4792 -1.4304 -1.1482
-0.6400 -0.9798 2.0452
-1.7189 1.5957 0.2266
0.0000 0.0000 0.0000
-3.8381 -0.8145 1.1236
```



# 2
DFT (GGA-PBEsol) results for Ga2AsHAu after structural relaxation.

Total moment = 0.0 μB/f.u.
Raw total energy = -2.96 eV per atom
N(E_F) = 3.87 states/eV/f.u.

The structure in POSCAR format:
```
Ga2AsHAu
1.0
4.8746 0.0000 0.0000
0.0000 4.8746 0.0000
0.0000 0.0000 5.0670
H As Au Ga
1 1 1 2
Cartesian
2.4373 2.4373 2.5335
0.0000 0.0000 2.5335
0.0000 0.0000 0.0000
0.0000 2.4373 0.0000
2.4373 0.0000 0.0000
```



# 3
DFT (GGA-PBEsol) results for Cd2InTc after structural relaxation.

Total moment = 0.0 μB/f.u.
Raw total energy = -3.82 eV per atom
ΔE_f = 33.31 kJ/mol of atoms
N(E_F) = 3.16 states/eV/f.u.

The structure in POSCAR format:
```
Cd2InTc
1.0
2.9049 0.0055 0.0000
-0.0767 5.0090 0.0000
-1.4141 -2.5072 5.0854
Cd In Tc
2 1 1
Cartesian
0.7070 1.2536 2.5427
-0.7070 -1.2536 2.5427
-0.0384 2.5045 0.0000
1.4524 0.0027 0.0000
```



# 4
DFT (GGA-PBEsol) results for RbSi2Se after structural relaxation.

Total moment = 0.0 μB/f.u.
Raw total energy = -3.68 eV per atom
ΔE_f (raw) = 0.4150 eV per atom
N(E_F) = 2.18 states/eV/f.u.

The structure in POSCAR format:
```
RbSi2Se
1.0
6.5379 -0.0763 0.0000
-3.3053 5.6414 0.0000
-1.6163 -2.7825 5.6916
Si Se Rb
4 2 2
Cartesian
1.6533 3.6914 2.4213
0.7712 0.4824 3.2704
3.3059 0.8707 0.4245
-2.4978 0.5206 5.2671
3.2689 -0.0382 2.8458
1.6163 2.7825 0.0000
-1.6526 2.8207 2.8458
0.0000 0.0000 0.0000
```



# 5
DFT (GGA-PBEsol) results for ScNiHg2 after structural relaxation.

Total moment = 0.0 μB/f.u.
Raw total energy = -3.64 eV per atom
ΔE_f = -15.54 kJ/mol of atoms
N(E_F) = 3.08 states/eV/f.u.

The structure in POSCAR format:
```
ScNiHg2
1.0
4.1273 0.0000 0.0000
0.0000 4.1273 0.0000
0.0000 0.0000 4.2257
Hg Ni Sc
2 1 1
Cartesian
0.0000 2.0636 0.0000
2.0636 0.0000 0.0000
2.0636 2.0636 2.1128
0.0000 0.0000 2.1128
```



# 6
DFT (GGA-PBEsol) results for LaPbCl2 after structural relaxation.

Total moment = 0.0 μB/f.u.
Raw total energy = -4.53 eV per atom
Energy relative to the lowest polymorph listed for this composition = 151.6 meV per atom
ΔE_f (raw) = -1.1849 eV per atom
N(E_F) = 1.71 states/eV/f.u.

The structure in POSCAR format:
```
LaPbCl2
1.0
-3.7763 -1.4075 -1.1627
0.4943 -3.3599 2.4617
-0.7380 5.1983 3.6697
Pb Cl La
1 2 1
Cartesian
-0.9423 -0.2726 3.3904
0.0000 0.0000 0.0000
-3.0776 0.7036 1.5782
-1.6410 -2.3837 0.6495
```



> Look up the total moment of the third one.

0.0 μB/f.u.



> Among the records above, which one has the highest total moment?

Re3MoBr



Copy entry 4 word for word.
DFT (GGA-PBEsol) results for RbSi2Se after structural relaxation.

Total moment = 0.0 μB/f.u.
Raw total energy = -3.68 eV per atom
ΔE_f (raw) = 0.4150 eV per atom
N(E_F) = 2.18 states/eV/f.u.

The structure in POSCAR format:
```
RbSi2Se
1.0
6.5379 -0.0763 0.0000
-3.3053 5.6414 0.0000
-1.6163 -2.7825 5.6916
Si Se Rb
4 2 2
Cartesian
1.6533 3.6914 2.4213
0.7712 0.4824 3.2704
3.3059 0.8707 0.4245
-2.4978 0.5206 5.2671
3.2689 -0.0382 2.8458
1.6163 2.7825 0.0000
-1.6526 2.8207 2.8458
0.0000 0.0000 0.0000
```